# GdY2Se3

A geometry-optimized GdY2Se3 structure (PBE, the Open Quantum Materials Database).

Cell lengths 4.076, 4.076, 10.081 Å; angles 90.00, 90.00, 120.00 degrees
Sites, in units of the cell vectors:
Gd 0.000 0.000 0.000
Se 0.333 0.667 0.169
Se 0.000 0.000 0.500
Se 0.667 0.333 0.831
Y 0.667 0.333 0.333
Y 0.333 0.667 0.667

Results
VASP energy	-6.45	eV/atom
magnetization	0.0	μB per formula unit